Compound: AgH2SNO3
Source: OQMD via LeMat-Bulk
Functional: PBE-GGA
Structure: optimized geometry

Summary:
**E_tot**: -5.3197 eV per atom
**Space-group type**: Pbca (61)

Cell: 7.6832 11.6191 7.9851 Å, 90.00 90.00 90.00°
Last column: nearest neighbours and their distance in Å.
Element x y z (fractional)
Ag (0.1168, 0.1008, 0.2481)  1 N 2.28, 4 O 2.40-2.55
Ag (0.1168, 0.3992, 0.7481)  1 N 2.28, 4 O 2.40-2.55
Ag (0.3832, 0.6008, 0.2481)  1 N 2.28, 4 O 2.40-2.55
Ag (0.3832, 0.8992, 0.7481)  1 N 2.28, 4 O 2.40-2.55
Ag (0.6168, 0.1008, 0.2519)  1 N 2.28, 4 O 2.40-2.55
Ag (0.6168, 0.3992, 0.7519)  1 N 2.28, 4 O 2.40-2.55
Ag (0.8832, 0.6008, 0.2519)  1 N 2.28, 4 O 2.40-2.55
Ag (0.8832, 0.8992, 0.7519)  1 N 2.28, 4 O 2.40-2.55
H (0.0065, 0.1114, 0.6249)  1 N 1.04
H (0.0065, 0.3886, 0.1249)  1 N 1.04
H (0.2158, 0.6110, 0.8828)  1 N 1.03
H (0.2158, 0.8890, 0.3828)  1 N 1.03
H (0.2842, 0.1110, 0.8828)  1 N 1.03
H (0.2842, 0.3890, 0.3828)  1 N 1.03
H (0.4935, 0.6114, 0.6249)  1 N 1.04
H (0.4935, 0.8886, 0.1249)  1 N 1.04
H (0.5065, 0.1114, 0.8751)  1 N 1.04
H (0.5065, 0.3886, 0.3751)  1 N 1.04
H (0.7158, 0.6110, 0.6172)  1 N 1.03
H (0.7158, 0.8890, 0.1172)  1 N 1.03
H (0.7842, 0.1110, 0.6172)  1 N 1.03
H (0.7842, 0.3890, 0.1172)  1 N 1.03
H (0.9935, 0.6114, 0.8751)  1 N 1.04
H (0.9935, 0.8886, 0.3751)  1 N 1.04
S (0.1156, 0.6640, 0.6313)  3 O 1.46-1.48
S (0.1156, 0.8360, 0.1313)  3 O 1.46-1.48
S (0.3844, 0.1640, 0.6313)  3 O 1.46-1.48
S (0.3844, 0.3360, 0.1313)  3 O 1.46-1.48
S (0.6156, 0.6640, 0.8687)  3 O 1.46-1.48
S (0.6156, 0.8360, 0.3687)  3 O 1.46-1.48
S (0.8844, 0.1640, 0.8687)  3 O 1.46-1.48
S (0.8844, 0.3360, 0.3687)  3 O 1.46-1.48
N (0.1074, 0.5908, 0.8120)  2 H 1.03-1.04
N (0.1074, 0.9092, 0.3120)  2 H 1.03-1.04
N (0.3926, 0.0908, 0.8120)  2 H 1.03-1.04
N (0.3926, 0.4092, 0.3120)  2 H 1.03-1.04
N (0.6074, 0.5908, 0.6880)  2 H 1.03-1.04
N (0.6074, 0.9092, 0.1880)  2 H 1.03-1.04
N (0.8926, 0.0908, 0.6880)  2 H 1.03-1.04
N (0.8926, 0.4092, 0.1880)  2 H 1.03-1.04
O (0.0499, 0.1383, 0.9508)  1 S 1.46
O (0.0499, 0.3617, 0.4508)  1 S 1.46
O (0.1323, 0.7116, 0.1699)  1 S 1.48
O (0.1323, 0.7884, 0.6699)  1 S 1.48
O (0.2303, 0.1191, 0.5464)  1 S 1.46
O (0.2303, 0.3809, 0.0464)  1 S 1.46
O (0.2697, 0.6191, 0.5464)  1 S 1.46
O (0.2697, 0.8809, 0.0464)  1 S 1.46
O (0.3677, 0.2116, 0.1699)  1 S 1.48
O (0.3677, 0.2884, 0.6699)  1 S 1.48
O (0.4501, 0.6383, 0.9508)  1 S 1.46
O (0.4501, 0.8617, 0.4508)  1 S 1.46
O (0.5499, 0.1383, 0.5492)  1 S 1.46
O (0.5499, 0.3617, 0.0492)  1 S 1.46
O (0.6323, 0.7116, 0.3301)  1 S 1.48
O (0.6323, 0.7884, 0.8301)  1 S 1.48
O (0.7303, 0.1191, 0.9536)  1 S 1.46
O (0.7303, 0.3809, 0.4536)  1 S 1.46
O (0.7697, 0.6191, 0.9536)  1 S 1.46
O (0.7697, 0.8809, 0.4536)  1 S 1.46
O (0.8677, 0.2116, 0.3301)  1 S 1.48
O (0.8677, 0.2884, 0.8301)  1 S 1.48
O (0.9501, 0.6383, 0.5492)  1 S 1.46
O (0.9501, 0.8617, 0.0492)  1 S 1.46